Density functional theory data (GGA-PBE) for a relaxed structure of CaTlCoPt2.

DOS at the Fermi energy (states/eV/cell): 8.21
Spin magnetization (μB per formula unit): 1.3
Space group: P4/mmm, No. 123
Formation energy (eV per atom): 1.166

abc: 5.0781 4.6119 5.0781
angles: 90.00 90.00 90.00
Site moments in Bohr magnetons follow the coordinates.
Fractional positions:
Pt (0.5000, 0.0000, 0.0000)  0.00
Pt (0.0000, 0.0000, 0.5000)  -0.05
Ca (0.0000, 0.0000, 0.0000)  -0.05
Co (0.0000, 0.5000, 0.0000)  1.49
Tl (0.5000, 0.5000, 0.5000)  0.01


Density functional theory data (GGA-PBE) for a relaxed structure of CaPuCo4.

DOS at the Fermi energy (states/eV/cell): 4.15
Spin magnetization (μB per formula unit): 0.3
Space group: F-43m, No. 216
Formation energy (eV per atom): -0.030

abc: 5.0546 5.0546 5.0546
angles: 60.00 60.00 60.00
Site moments in Bohr magnetons follow the coordinates.
Fractional positions:
Co (0.6246, 0.1263, 0.6246)  -1.41
Co (0.1263, 0.6246, 0.6246)  -1.41
Co (0.6246, 0.6246, 0.1263)  -1.41
Co (0.6246, 0.6246, 0.6246)  -1.41
Pu (0.2500, 0.2500, 0.2500)  5.29
Ca (0.0000, 0.0000, 0.0000)  0.12


Density functional theory data (GGA-PBE) for a relaxed structure of CaPuCo.

DOS at the Fermi energy (states/eV/cell): 27.00
Spin magnetization (μB per formula unit): 4.9
Space group: C2/m, No. 12
Formation energy (eV per atom): 0.086

abc: 4.3345 6.5992 10.9849
angles: 88.19 101.38 90.00
Site moments in Bohr magnetons follow the coordinates.
Fractional positions:
Co (0.3258, 0.5332, 0.6515)  -0.81
Co (0.6701, 0.1164, 0.3402)  -0.66
Co (0.6742, 0.4668, 0.3485)  -0.81
Co (0.3299, 0.8836, 0.6598)  -0.66
Pu (0.8051, 0.3373, 0.6102)  5.30
Pu (0.7700, 0.8281, 0.5400)  5.18
Pu (0.1949, 0.6627, 0.3898)  5.30
Pu (0.2300, 0.1719, 0.4600)  5.18
Ca (0.4258, 0.2043, 0.8516)  0.04
Ca (0.5742, 0.7957, 0.1484)  0.04
Ca (0.0780, 0.2871, 0.1560)  0.05
Ca (0.9220, 0.7129, 0.8440)  0.05


Density functional theory data (GGA-PBE) for a relaxed structure of RbCa2Co.

DOS at the Fermi energy (states/eV/cell): 2.73
Spin magnetization (μB per formula unit): 0.0
Space group: Fm-3m, No. 225
Formation energy (eV per atom): 0.720

abc: 5.5407 5.5407 5.5407
angles: 60.00 60.00 60.00
Fractional positions:
Ca (0.2500, 0.2500, 0.2500)
Ca (0.7500, 0.7500, 0.7500)
Co (0.0000, 0.0000, 0.0000)
Rb (0.5000, 0.5000, 0.5000)


Density functional theory data (GGA-PBE) for a relaxed structure of RbCa2Co.

DOS at the Fermi energy (states/eV/cell): 2.32
Spin magnetization (μB per formula unit): 0.0
Space group: I4_1/amd, No. 141
Formation energy (eV per atom): 0.551

abc: 8.0870 8.0870 8.0776
angles: 59.96 59.96 90.00
Fractional positions:
Co (0.2500, 0.7500, 0.5000)
Co (0.5000, 0.5000, 0.0000)
Ca (0.3747, 0.6250, 0.2500)
Ca (0.3753, 0.1250, 0.2500)
Ca (0.3750, 0.6247, 0.7500)
Ca (0.8750, 0.6253, 0.7500)
Rb (0.7500, 0.2500, 0.5000)
Rb (0.0000, 0.0000, 0.0000)


Density functional theory data (GGA-PBE) for a relaxed structure of RbCaCo3.

DOS at the Fermi energy (states/eV/cell): 7.54
Spin magnetization (μB per formula unit): 3.7
Space group: Pm-3m, No. 221
Formation energy (eV per atom): 2.053

abc: 4.8374 4.8374 4.8374
angles: 90.00 90.00 90.00
Site moments in Bohr magnetons follow the coordinates.
Fractional positions:
Ca (0.5000, 0.5000, 0.5000)  -0.06
Co (0.0000, 0.5000, 0.0000)  1.47
Co (0.5000, 0.0000, 0.0000)  1.44
Co (0.0000, 0.0000, 0.5000)  1.30
Rb (0.0000, 0.0000, 0.0000)  -0.02


Density functional theory data (GGA-PBE) for a relaxed structure of RbCaCo3.

DOS at the Fermi energy (states/eV/cell): 6.67
Spin magnetization (μB per formula unit): 5.6
Space group: Pm-3m, No. 221
Formation energy (eV per atom): 1.714

abc: 5.3073 5.3073 5.3073
angles: 90.00 90.00 90.00
Site moments in Bohr magnetons follow the coordinates.
Fractional positions:
Co (0.0000, 0.0000, 0.5000)  1.81
Co (0.0000, 0.5000, 0.0000)  2.05
Co (0.5000, 0.0000, 0.0000)  1.99
Rb (0.5000, 0.5000, 0.5000)  0.00
Ca (0.0000, 0.0000, 0.0000)  -0.13


Density functional theory data (GGA-PBE) for a relaxed structure of Rb2CaCoRu.

DOS at the Fermi energy (states/eV/cell): 8.74
Spin magnetization (μB per formula unit): 1.5
Space group: P4/mmm, No. 123
Formation energy (eV per atom): 1.780

abc: 6.9157 6.9157 4.7325
angles: 90.00 90.00 90.00
Site moments in Bohr magnetons follow the coordinates.
Fractional positions:
Rb (0.0000, 0.5000, 0.0000)  0.00
Rb (0.5000, 0.0000, 0.0000)  0.00
Ru (0.5000, 0.5000, 0.5000)  2.38
Ca (0.0000, 0.0000, 0.0000)  0.06
Co (0.0000, 0.0000, 0.5000)  -1.16


Density functional theory data (GGA-PBE) for a relaxed structure of RbSrCaCo2.

DOS at the Fermi energy (states/eV/cell): 8.63
Spin magnetization (μB per formula unit): 2.9
Space group: P4/mmm, No. 123
Formation energy (eV per atom): 1.428

abc: 5.5510 6.4473 5.5510
angles: 90.00 90.00 90.00
Site moments in Bohr magnetons follow the coordinates.
Fractional positions:
Co (0.5000, 0.0000, 0.0000)  -1.97
Co (0.0000, 0.0000, 0.5000)  -1.71
Rb (0.5000, 0.5000, 0.5000)  0.01
Sr (0.0000, 0.0000, 0.0000)  0.14
Ca (0.0000, 0.5000, 0.0000)  0.09


Density functional theory data (GGA-PBE) for a relaxed structure of Rb2CaTaCo.

DOS at the Fermi energy (states/eV/cell): 10.34
Spin magnetization (μB per formula unit): 0.8
Space group: P4/mmm, No. 123
Formation energy (eV per atom): 2.146

abc: 6.8294 6.8294 4.6452
angles: 90.00 90.00 90.00
Site moments in Bohr magnetons follow the coordinates.
Fractional positions:
Co (0.0000, 0.0000, 0.5000)  -1.15
Rb (0.5000, 0.0000, 0.0000)  0.00
Rb (0.0000, 0.5000, 0.0000)  0.00
Ca (0.0000, 0.0000, 0.0000)  0.09
Ta (0.5000, 0.5000, 0.5000)  0.10


Density functional theory data (GGA-PBE) for a relaxed structure of RbCaCo2W.

DOS at the Fermi energy (states/eV/cell): 8.35
Spin magnetization (μB per formula unit): 6.2
Space group: P4/mmm, No. 123
Formation energy (eV per atom): 2.520

abc: 4.7836 5.2956 4.7836
angles: 90.00 90.00 90.00
Site moments in Bohr magnetons follow the coordinates.
Fractional positions:
Co (0.5000, 0.0000, 0.0000)  1.27
Co (0.0000, 0.0000, 0.5000)  1.52
W (0.5000, 0.5000, 0.5000)  2.75
Rb (0.0000, 0.5000, 0.0000)  0.03
Ca (0.0000, 0.0000, 0.0000)  -0.15


Density functional theory data (GGA-PBE) for a relaxed structure of CaCo2Re.

DOS at the Fermi energy (states/eV/cell): 5.00
Spin magnetization (μB per formula unit): 2.2
Space group: R-3m, No. 166
Formation energy (eV per atom): 0.650

abc: 8.9231 8.9231 8.9231
angles: 18.25 18.25 18.25
Site moments in Bohr magnetons follow the coordinates.
Fractional positions:
Co (0.5087, 0.5087, 0.5087)  1.12
Co (0.9913, 0.9913, 0.9913)  1.12
Re (0.2500, 0.2500, 0.2500)  0.12
Ca (0.7500, 0.7500, 0.7500)  -0.07


Density functional theory data (GGA-PBE) for a relaxed structure of CaCo2Re.

DOS at the Fermi energy (states/eV/cell): 3.75
Spin magnetization (μB per formula unit): 1.8
Space group: C2/m, No. 12
Formation energy (eV per atom): 0.415

abc: 4.3346 4.3346 5.9179
angles: 83.12 83.12 37.24
Site moments in Bohr magnetons follow the coordinates.
Fractional positions:
Co (0.0116, 0.0116, 0.9128)  0.90
Co (0.4884, 0.4884, 0.5872)  0.90
Ca (0.2500, 0.2500, 0.2500)  -0.02
Re (0.7500, 0.7500, 0.7500)  0.08


Density functional theory data (GGA-PBE) for a relaxed structure of CaCoRe.

DOS at the Fermi energy (states/eV/cell): 7.84
Spin magnetization (μB per formula unit): 0.0
Space group: P1, No. 1
Formation energy (eV per atom): 0.428

abc: 5.4489 7.3522 2.8324
angles: 77.65 99.48 86.53
Fractional positions:
Re (0.6748, 0.5086, 0.0646)
Re (0.3256, 0.7158, 0.1439)
Co (0.9463, 0.6899, 0.5285)
Co (0.2190, 0.9792, 0.4611)
Ca (0.1985, 0.3311, 0.7359)
Ca (0.7274, 0.0268, 0.8014)


Density functional theory data (GGA-PBE) for a relaxed structure of Ca2CoRe.

DOS at the Fermi energy (states/eV/cell): 2.60
Spin magnetization (μB per formula unit): 2.3
Space group: Immm, No. 71
Formation energy (eV per atom): 0.859

abc: 5.5878 5.5878 5.5878
angles: 144.14 130.89 62.29
Site moments in Bohr magnetons follow the coordinates.
Fractional positions:
Ca (0.5295, 0.5295, 0.0000)  -0.04
Ca (0.9705, 0.9705, 0.0000)  -0.04
Co (0.7500, 0.2500, 0.5000)  1.35
Re (0.2500, 0.7500, 0.5000)  1.02


Density functional theory data (GGA-PBE) for a relaxed structure of CaCo2Re.

DOS at the Fermi energy (states/eV/cell): 4.46
Spin magnetization (μB per formula unit): 0.0
Space group: Pmmm, No. 47
Formation energy (eV per atom): 0.286

abc: 3.2015 2.8111 7.5176
angles: 68.08 90.00 90.00
Fractional positions:
Co (0.0000, 0.9386, 0.0614)
Co (0.0000, 0.5614, 0.4386)
Re (0.5000, 0.2500, 0.2500)
Ca (0.5000, 0.7500, 0.7500)


Density functional theory data (GGA-PBE) for a relaxed structure of CaCo2Re.

DOS at the Fermi energy (states/eV/cell): 4.04
Spin magnetization (μB per formula unit): 2.4
Space group: Cmmm, No. 65
Formation energy (eV per atom): 0.457

abc: 7.0621 4.5969 2.7717
angles: 90.00 66.89 130.53
Site moments in Bohr magnetons follow the coordinates.
Fractional positions:
Ca (0.5000, 0.5000, 0.0000)  -0.07
Co (0.0000, 0.0000, 0.0000)  1.09
Co (0.5000, 0.0000, 0.5000)  1.09
Re (0.0000, 0.5000, 0.5000)  0.35


Density functional theory data (GGA-PBE) for a relaxed structure of CaCoRe.

DOS at the Fermi energy (states/eV/cell): 5.45
Spin magnetization (μB per formula unit): 1.0
Space group: Cm, No. 8
Formation energy (eV per atom): 0.198

abc: 4.2199 5.7499 5.0311
angles: 87.54 90.00 111.53
Site moments in Bohr magnetons follow the coordinates.
Fractional positions:
Co (0.5229, 0.2163, 0.9568)  0.92
Co (0.0617, 0.2938, 0.7244)  1.02
Re (0.6024, 0.3753, 0.4799)  0.03
Re (0.0644, 0.2992, 0.2072)  0.06
Ca (0.3358, 0.8421, 0.4602)  0.00
Ca (0.7875, 0.7453, 0.9654)  -0.02


Density functional theory data (GGA-PBE) for a relaxed structure of CaCoRe.

DOS at the Fermi energy (states/eV/cell): 4.58
Spin magnetization (μB per formula unit): 0.0
Space group: C2/m, No. 12
Formation energy (eV per atom): 0.192

abc: 6.8429 4.2047 4.2006
angles: 94.67 90.95 89.03
Fractional positions:
Co (0.5152, 0.0455, 0.0735)
Co (0.8487, 0.6167, 0.5050)
Ca (0.3331, 0.5848, 0.5356)
Ca (0.0308, 0.0776, 0.0429)
Re (0.6821, 0.5562, 0.0149)
Re (0.6818, 0.1060, 0.5636)


Density functional theory data (GGA-PBE) for a relaxed structure of CaCoRe.

DOS at the Fermi energy (states/eV/cell): 4.99
Spin magnetization (μB per formula unit): 0.0
Space group: Pm, No. 6
Formation energy (eV per atom): 0.294

abc: 4.1908 6.9446 4.2400
angles: 87.95 90.00 90.00
Fractional positions:
Co (0.8125, 0.4578, 0.7838)
Co (0.3125, 0.2920, 0.6683)
Ca (0.3125, 0.6323, 0.2080)
Ca (0.8125, 0.9450, 0.7052)
Re (0.3125, 0.1386, 0.1491)
Re (0.8125, 0.3065, 0.2795)


Density functional theory data (GGA-PBE) for a relaxed structure of CaCoRe.

DOS at the Fermi energy (states/eV/cell): 5.11
Spin magnetization (μB per formula unit): 0.2
Space group: Ima2, No. 46
Formation energy (eV per atom): 0.285

abc: 5.4690 5.4689 5.4684
angles: 99.23 133.58 98.64
Site moments in Bohr magnetons follow the coordinates.
Fractional positions:
Co (0.4772, 0.3635, 0.1815)  0.33
Co (0.9772, 0.5567, 0.8747)  0.33
Re (0.6487, 0.2258, 0.8724)  -0.05
Re (0.1487, 0.0373, 0.1838)  -0.05
Ca (0.3115, 0.6208, 0.6046)  -0.01
Ca (0.8115, 0.9679, 0.4516)  -0.01


Density functional theory data (GGA-PBE) for a relaxed structure of CaCoRe.

DOS at the Fermi energy (states/eV/cell): 4.05
Spin magnetization (μB per formula unit): 0.0
Space group: Pnma, No. 62
Formation energy (eV per atom): 0.336

abc: 7.1774 4.2492 6.8847
angles: 90.00 90.00 90.00
Fractional positions:
Re (0.3541, 0.2500, 0.0806)
Re (0.1459, 0.7500, 0.5806)
Re (0.6459, 0.7500, 0.9194)
Re (0.8541, 0.2500, 0.4194)
Co (0.6800, 0.2500, 0.1064)
Co (0.1800, 0.2500, 0.3936)
Co (0.3200, 0.7500, 0.8936)
Co (0.8200, 0.7500, 0.6064)
Ca (0.9895, 0.2500, 0.8357)
Ca (0.4895, 0.2500, 0.6643)
Ca (0.5105, 0.7500, 0.3357)
Ca (0.0105, 0.7500, 0.1643)


Density functional theory data (GGA-PBE) for a relaxed structure of CaCo2Re.

DOS at the Fermi energy (states/eV/cell): 5.41
Spin magnetization (μB per formula unit): 3.1
Space group: Fm-3m, No. 225
Formation energy (eV per atom): 0.562

abc: 4.3974 4.3974 4.3974
angles: 60.00 60.00 60.00
Site moments in Bohr magnetons follow the coordinates.
Fractional positions:
Re (0.5000, 0.5000, 0.5000)  0.67
Ca (0.0000, 0.0000, 0.0000)  -0.04
Co (0.7500, 0.7500, 0.7500)  1.25
Co (0.2500, 0.2500, 0.2500)  1.25


Density functional theory data (GGA-PBE) for a relaxed structure of Ca2CoRe.

DOS at the Fermi energy (states/eV/cell): 4.99
Spin magnetization (μB per formula unit): 1.1
Space group: Cmmm, No. 65
Formation energy (eV per atom): 0.769

abc: 2.8871 2.8871 9.2334
angles: 90.00 90.00 99.76
Site moments in Bohr magnetons follow the coordinates.
Fractional positions:
Co (0.5000, 0.5000, 0.2500)  1.23
Ca (0.0000, 0.0000, 0.0162)  -0.04
Ca (0.0000, 0.0000, 0.4838)  -0.04
Re (0.5000, 0.5000, 0.7500)  0.03


Density functional theory data (GGA-PBE) for a relaxed structure of Ca2CoRe.

DOS at the Fermi energy (states/eV/cell): 3.51
Spin magnetization (μB per formula unit): 0.0
Space group: P4mm, No. 99
Formation energy (eV per atom): 0.378

abc: 3.1474 3.1474 8.8569
angles: 90.00 90.00 90.00
Fractional positions:
Co (0.0000, 0.0000, 0.5628)
Ca (0.5000, 0.5000, 0.3223)
Ca (0.0000, 0.0000, 0.9336)
Re (0.5000, 0.5000, 0.6814)


Density functional theory data (GGA-PBE) for a relaxed structure of CaCo2Re.

DOS at the Fermi energy (states/eV/cell): 4.60
Spin magnetization (μB per formula unit): 1.6
Space group: Cm, No. 8
Formation energy (eV per atom): 0.452

abc: 5.0969 5.0969 4.6875
angles: 74.04 74.04 30.34
Site moments in Bohr magnetons follow the coordinates.
Fractional positions:
Co (0.0320, 0.0320, 0.0029)  0.99
Co (0.7374, 0.7374, 0.7095)  0.56
Re (0.4705, 0.4705, 0.5802)  0.12
Ca (0.2601, 0.2601, 0.2074)  -0.02


Density functional theory data (GGA-PBE) for a relaxed structure of CaCoRe3.

DOS at the Fermi energy (states/eV/cell): 7.53
Spin magnetization (μB per formula unit): 0.0
Space group: Pm-3m, No. 221
Formation energy (eV per atom): 3.492

abc: 4.4982 4.4982 4.4982
angles: 90.00 90.00 90.00
Fractional positions:
Re (0.5000, 0.0000, 0.0000)
Re (0.0000, 0.5000, 0.0000)
Re (0.0000, 0.0000, 0.5000)
Ca (0.0000, 0.0000, 0.0000)
Co (0.5000, 0.5000, 0.5000)


Density functional theory data (GGA-PBE) for a relaxed structure of CaCoRe.

DOS at the Fermi energy (states/eV/cell): 6.56
Spin magnetization (μB per formula unit): 4.1
Space group: F-43m, No. 216
Formation energy (eV per atom): 2.126

abc: 4.4956 4.4956 4.4956
angles: 60.00 60.00 60.00
Site moments in Bohr magnetons follow the coordinates.
Fractional positions:
Re (0.5000, 0.5000, 0.5000)  2.24
Co (0.0000, 0.0000, 0.0000)  1.57
Ca (0.7500, 0.7500, 0.7500)  0.05